## Sc8IrPd2 (PBE-GGA)

Data for Sc8IrPd2 after structural relaxation.

Unit cell a=8.3087 b=8.3087 c=6.4070 alpha=108.46 beta=108.46 gamma=33.30
Fractional coordinates of all 11 atoms:
Sc: 0.0288 0.0288 0.2916
Sc: 0.1956 0.1956 0.7956
Sc: 0.3344 0.3344 0.5368
Sc: 0.4042 0.4042 0.0575
Sc: 0.5958 0.5958 0.9425
Sc: 0.6656 0.6656 0.4632
Sc: 0.8044 0.8044 0.2044
Sc: 0.9712 0.9712 0.7084
Ir: 0.5000 0.5000 0.5000
Pd: 0.1821 0.1821 0.1948
Pd: 0.8179 0.8179 0.8052

Polymorph energy (0 for the lowest one) (eV per atom): 0.000
Symmetry: No. 12
M_tot (μB/atom): 0.00
DFT formation energy (eV/atom): -0.57

***

## LaPm6Tl2 (PBE-GGA)

Data for LaPm6Tl2 after structural relaxation.

Unit cell a=6.8778 b=6.8778 c=12.2483 alpha=107.39 beta=107.39 gamma=32.64
Fractional coordinates of all 9 atoms:
La: 0.0000 0.0000 0.0000
Pm: 0.0087 0.0087 0.3435
Pm: 0.3102 0.3102 0.1269
Pm: 0.3096 0.3096 0.4175
Pm: 0.6904 0.6904 0.5825
Pm: 0.6898 0.6898 0.8731
Pm: 0.9913 0.9913 0.6565
Tl: 0.3588 0.3588 0.7831
Tl: 0.6412 0.6412 0.2169

Symmetry: No. 12
M_tot (μB/atom): 0.00
DFT formation energy (eV/atom): -0.15

***

## YPuP (PBE-GGA)

Data for YPuP after structural relaxation.

Unit cell a=5.2672 b=3.6567 c=7.0651 alpha=90.00 beta=98.08 gamma=90.00
Fractional coordinates of all 6 atoms:
Y: 0.2429 0.2500 0.4460
Y: 0.7571 0.7500 0.5540
Pu: 0.1128 0.2500 0.9450
Pu: 0.8872 0.7500 0.0550
P: 0.4115 0.7500 0.1977
P: 0.5885 0.2500 0.8023

Symmetry: No. 11
M_tot (μB/atom): 0.00
DFT formation energy (eV/atom): -0.42

***

## K3NaAu3 (PBE-GGA)

Data for K3NaAu3 after structural relaxation.

Unit cell a=9.1033 b=9.1033 c=9.1033 alpha=90.00 beta=90.00 gamma=90.00
Fractional coordinates of all 14 atoms:
K: 0.0000 0.2500 0.5000
K: 0.0000 0.7500 0.5000
K: 0.2500 0.5000 0.0000
K: 0.5000 0.0000 0.2500
K: 0.5000 0.0000 0.7500
K: 0.7500 0.5000 0.0000
Na: 0.0000 0.0000 0.0000
Na: 0.5000 0.5000 0.5000
Au: 0.0000 0.5000 0.2500
Au: 0.0000 0.5000 0.7500
Au: 0.2500 0.0000 0.5000
Au: 0.5000 0.2500 0.0000
Au: 0.5000 0.7500 0.0000
Au: 0.7500 0.0000 0.5000

Polymorph energy (0 for the lowest one) (eV per atom): 0.272
Symmetry: No. 223
M_tot (μB/atom): 0.12
DFT formation energy (eV/atom): -0.02

***

## AcDyHo3 (PBE-GGA)

Data for AcDyHo3 after structural relaxation.

Unit cell a=9.2094 b=9.2094 c=7.0768 alpha=90.00 beta=90.00 gamma=145.85
Fractional coordinates of all 10 atoms:
Ac: 0.1979 0.8021 0.5000
Ac: 0.8021 0.1979 0.0000
Dy: 0.4004 0.5996 0.7438
Dy: 0.5996 0.4004 0.2438
Ho: 0.9997 0.0003 0.4994
Ho: 0.0003 0.9997 0.9994
Ho: 0.1875 0.8125 0.9999
Ho: 0.4003 0.5997 0.2557
Ho: 0.5997 0.4003 0.7557
Ho: 0.8125 0.1875 0.4999

Polymorph energy (0 for the lowest one) (eV per atom): 0.000
Symmetry: No. 36
M_tot (μB/atom): 0.00
DFT formation energy (eV/atom): 0.12

***

## NdDyCl (PBE-GGA)

Data for NdDyCl after structural relaxation.

Unit cell a=3.7200 b=3.7200 c=7.1985 alpha=90.00 beta=90.00 gamma=120.00
Fractional coordinates of all 3 atoms:
Nd: 0.0000 0.0000 0.0000
Dy: 0.3333 0.6667 0.6170
Cl: 0.6667 0.3333 0.3262

Uncorrected formation energy (kJ/mol of atoms): -87
Polymorph energy (0 for the lowest one) (eV per atom): 0.000
Symmetry: No. 156
M_tot (μB/atom): 0.14

***

## Pm16Nd6Ho7 (PBE-GGA)

Data for Pm16Nd6Ho7 after structural relaxation.

Unit cell a=11.3274 b=11.3274 c=11.3274 alpha=60.00 beta=60.00 gamma=60.00
Fractional coordinates of all 29 atoms:
Pm: 0.0468 0.6511 0.6511
Pm: 0.1258 0.1258 0.1258
Pm: 0.1258 0.1258 0.6228
Pm: 0.1258 0.6228 0.1258
Pm: 0.3489 0.3489 0.3489
Pm: 0.3489 0.3489 0.9532
Pm: 0.3489 0.9532 0.3489
Pm: 0.3772 0.8742 0.8742
Pm: 0.6228 0.1258 0.1258
Pm: 0.6511 0.0468 0.6511
Pm: 0.6511 0.6511 0.0468
Pm: 0.6511 0.6511 0.6511
Pm: 0.8742 0.3772 0.8742
Pm: 0.8742 0.8742 0.3772
Pm: 0.8742 0.8742 0.8742
Pm: 0.9532 0.3489 0.3489
Nd: 0.2726 0.2726 0.7274
Nd: 0.2726 0.7274 0.2726
Nd: 0.2726 0.7274 0.7274
Nd: 0.7274 0.2726 0.2726
Nd: 0.7274 0.2726 0.7274
Nd: 0.7274 0.7274 0.2726
Ho: 0.0000 0.0000 0.0000
Ho: 0.0000 0.0000 0.5000
Ho: 0.0000 0.5000 0.0000
Ho: 0.0000 0.5000 0.5000
Ho: 0.5000 0.0000 0.0000
Ho: 0.5000 0.0000 0.5000
Ho: 0.5000 0.5000 0.0000

Symmetry: No. 225
M_tot (μB/atom): 0.00
DFT formation energy (eV/atom): 0.21

***

## Tb6NdHo2Sc (PBE-GGA)

Data for Tb6NdHo2Sc after structural relaxation.

Unit cell a=8.7490 b=8.7490 c=9.3503 alpha=93.20 beta=93.20 gamma=117.05
Fractional coordinates of all 20 atoms:
Tb: 0.0013 0.5592 0.1895
Tb: 0.1254 0.7572 0.5551
Tb: 0.2428 0.8746 0.9449
Tb: 0.2914 0.5123 0.3864
Tb: 0.4408 0.9987 0.3105
Tb: 0.4877 0.7086 0.1136
Tb: 0.5123 0.2914 0.8864
Tb: 0.5592 0.0013 0.6895
Tb: 0.7086 0.4877 0.6136
Tb: 0.7572 0.1254 0.0551
Tb: 0.8746 0.2428 0.4449
Tb: 0.9987 0.4408 0.8105
Nd: 0.0258 0.9742 0.2500
Nd: 0.9742 0.0258 0.7500
Ho: 0.2048 0.3081 0.0499
Ho: 0.3081 0.2048 0.5499
Ho: 0.6919 0.7952 0.4501
Ho: 0.7952 0.6919 0.9501
Sc: 0.4160 0.5840 0.7500
Sc: 0.5840 0.4160 0.2500

Symmetry: No. 15
M_tot (μB/atom): 0.00
DFT formation energy (eV/atom): 0.13

***

## Re2HgMo (PBE-GGA)

Data for Re2HgMo after structural relaxation.

Unit cell a=4.9834 b=4.9834 c=4.8738 alpha=101.02 beta=101.02 gamma=33.84
Fractional coordinates of all 4 atoms:
Re: 0.0000 0.0000 0.0000
Re: 0.7320 0.7320 0.2081
Hg: 0.4931 0.4931 0.4951
Mo: 0.2552 0.2552 0.7721

Symmetry: No. 8
M_tot (μB/atom): 0.00
DFT formation energy (eV/atom): 0.54

***

## SmBe3Au10 (PBE-GGA)

Data for SmBe3Au10 after structural relaxation.

Unit cell a=8.8111 b=8.8111 c=8.8111 alpha=60.00 beta=60.00 gamma=60.00
Fractional coordinates of all 28 atoms:
Sm: 0.2500 0.2500 0.2500
Sm: 0.7500 0.7500 0.7500
Be: 0.2367 0.2367 0.7633
Be: 0.2367 0.7633 0.2367
Be: 0.2367 0.7633 0.7633
Be: 0.7633 0.2367 0.2367
Be: 0.7633 0.2367 0.7633
Be: 0.7633 0.7633 0.2367
Au: 0.1132 0.1132 0.1132
Au: 0.1132 0.1132 0.6605
Au: 0.1132 0.6605 0.1132
Au: 0.1612 0.5000 0.5000
Au: 0.1612 0.5000 0.8388
Au: 0.1612 0.8388 0.5000
Au: 0.3395 0.8868 0.8868
Au: 0.5000 0.1612 0.5000
Au: 0.5000 0.1612 0.8388
Au: 0.5000 0.5000 0.1612
Au: 0.5000 0.5000 0.8388
Au: 0.5000 0.8388 0.1612
Au: 0.5000 0.8388 0.5000
Au: 0.6605 0.1132 0.1132
Au: 0.8388 0.1612 0.5000
Au: 0.8388 0.5000 0.1612
Au: 0.8388 0.5000 0.5000
Au: 0.8868 0.3395 0.8868
Au: 0.8868 0.8868 0.3395
Au: 0.8868 0.8868 0.8868

Symmetry: No. 225
M_tot (μB/atom): 0.00
DFT formation energy (eV/atom): -0.27

***

## CrCuAgP2 (PBE-GGA)

Data for CrCuAgP2 after structural relaxation.

Unit cell a=4.7004 b=4.7004 c=4.6296 alpha=90.00 beta=90.00 gamma=90.00
Fractional coordinates of all 5 atoms:
Cr: 0.0000 0.0000 0.0000
Cu: 0.5000 0.5000 0.0000
Ag: 0.5000 0.5000 0.5000
P: 0.0000 0.5000 0.5000
P: 0.5000 0.0000 0.5000

Symmetry: No. 123
M_tot (μB/atom): 0.09
DFT formation energy (eV/atom): 1.58

***

## Ti3ICl (PBE-GGA)

Data for Ti3ICl after structural relaxation.

Unit cell a=4.5895 b=4.5895 c=4.5895 alpha=90.00 beta=90.00 gamma=90.00
Fractional coordinates of all 5 atoms:
Ti: 0.0000 0.0000 0.5000
Ti: 0.0000 0.5000 0.0000
Ti: 0.5000 0.0000 0.0000
I: 0.5000 0.5000 0.5000
Cl: 0.0000 0.0000 0.0000

Uncorrected formation energy (kJ/mol of atoms): 29
Polymorph energy (0 for the lowest one) (eV per atom): 0.000
Symmetry: No. 221
M_tot (μB/atom): 0.31

***

Calculated values (eV per atom) of E for the records, taken in order: -6.93, -4.39, -9.15, -2.08, -4.37, -4.64, -4.50, -4.68, -8.46, -3.75, -3.90, -5.11.